1.
A plane-wave DFT calculation with PBE was carried out for Ce2Tc2Ge after structural relaxation. Values from VASP.

The structure in Quantum ESPRESSO input format:
```
&SYSTEM
  ibrav = 0, nat = 10, ntyp = 3
/
ATOMIC_SPECIES
Ge 72.64 Ge.upf
Ce 140.12 Ce.upf
Tc 98.00 Tc.upf
CELL_PARAMETERS angstrom
5.728 0.534 0.298
3.065 4.869 0.298
1.737 1.067 8.021
ATOMIC_POSITIONS crystal
Ge 0.916 0.084 0.750
Ge 0.084 0.916 0.250
Ce 0.220 0.477 0.630
Ce 0.780 0.523 0.370
Ce 0.523 0.780 0.870
Ce 0.477 0.220 0.130
Tc 0.976 0.293 0.963
Tc 0.024 0.707 0.037
Tc 0.293 0.976 0.463
Tc 0.707 0.024 0.537
```

Final energy: -7.7885 eV per atom

2.
A plane-wave DFT calculation with PBE was carried out for LiReTe2 after structural relaxation. Values from VASP.

The structure in Quantum ESPRESSO input format:
```
&SYSTEM
  ibrav = 0, nat = 4, ntyp = 3
/
ATOMIC_SPECIES
Te 127.60 Te.upf
Re 186.21 Re.upf
Li 6.94 Li.upf
CELL_PARAMETERS angstrom
4.752 -0.006 -0.063
3.561 3.146 -0.063
0.927 0.350 6.434
ATOMIC_POSITIONS crystal
Te 0.248 0.248 0.394
Te 0.011 0.011 0.870
Re 0.738 0.738 0.722
Li 0.503 0.503 0.513
```

Final energy: -5.0695 eV per atom
Formation energy (no corrections): 0.09 eV/atom
Polymorph energy (0 for the lowest one): 0.060 eV/atom

Number 1: magnetic moment 0.00 Bohr magnetons per cell. Number 2: magnetic moment 0.00 Bohr magnetons per cell.